Below is a relaxed AcHoCoPt crystal, with properties calculated at the PBE-GGA level.

Structure (CIF):
```
data_AcHoCoPt
_chemical_formula_sum 'Ac4 Ho4 Co4 Pt4'
_cell_length_a 7.1412
_cell_length_b 7.1412
_cell_length_c 7.1412
_cell_angle_alpha 90.00
_cell_angle_beta 90.00
_cell_angle_gamma 90.00
_space_group_name_H-M_alt 'F -4 3 m'
_space_group_IT_number 216
_space_group_name_Hall 'F -4 2 3'
loop_
_atom_site_label
_atom_site_type_symbol
_atom_site_fract_x
_atom_site_fract_y
_atom_site_fract_z
_atom_site_occupancy
Ac1 Ac 0.0000 0.0000 0.0000 1
Ho1 Ho 0.0000 0.0000 0.5000 1
Co1 Co 0.2500 0.2500 0.7500 1
Pt1 Pt 0.2500 0.2500 0.2500 1
```

Results
Its energy relative to the elements is -0.4537 eV per atom. Its density of states at the Fermi level is 9.21 states/eV per cell. The calculated total energy is -5.912 eV per atom.